Entry from the Alexandria database: BeTeP after structural relaxation (PBE).

Geometry as POSCAR:
```
BeTeP
1.0
0.000 3.077 3.077
3.077 0.000 3.077
3.077 3.077 0.000
Be Te P
1 1 1
Cartesian
0.000 0.000 0.000
1.538 1.538 1.538
4.615 4.615 4.615
```

Properties
The density of states at the Fermi level comes out at 0.919 states/eV per atom. The value obtained for the calculated total energy is -3.542 eV/atom.